This record from Alexandria describes TlB2Br after structural relaxation. The functional is PBE-GGA.

Calculated values
* density of states at the Fermi level: 2.9 states/eV/f.u.
* calculated volume: 74.9 Å³/cell
* formation energy from raw total energies: 1943 meV/atom

Lattice parameters (Å, degrees): 4.7305 4.7305 4.7305 60.00 60.00 60.00
Closest atoms and distances in Å follow each position.
Fractional positions:
Tl 0.5000 0.5000 0.5000  8 B 2.90
B 0.2500 0.2500 0.2500  4 Tl 2.90, 4 Br 2.90
B 0.7500 0.7500 0.7500  4 Br 2.90, 4 Tl 2.90
Br 0.0000 0.0000 0.0000  8 B 2.90